Record 1
This record from Alexandria describes a relaxed structure of ZnH3Pb. The functional is GGA-PBEsol.

The structure in CIF format:
```
data_ZnH3Pb
_chemical_formula_sum 'Zn1 H3 Pb1'
_space_group_name_H-M_alt 'P m -3 m'
_space_group_IT_number 221
_space_group_name_Hall '-P 4 2 3'
_cell_length_a 3.796
_cell_length_b 3.796
_cell_length_c 3.796
_cell_angle_alpha 90.00
_cell_angle_beta 90.00
_cell_angle_gamma 90.00
loop_
_atom_site_label
_atom_site_fract_x
_atom_site_fract_y
_atom_site_fract_z
_atom_site_occupancy
Zn1 0.000 0.000 0.000 1
H1 0.000 0.000 0.500 1
Pb1 0.500 0.500 0.500 1
```

total magnetic moment: 0.00 μB/f.u.
energy above the lowest structure with this stoichiometry: 0.0000 eV per atom

Record 2
This record from Alexandria describes a relaxed structure of Zr3HPb. The functional is GGA-PBEsol.

The structure in CIF format:
```
data_Zr3HPb
_chemical_formula_sum 'Zr3 H1 Pb1'
_space_group_name_H-M_alt 'P 4/m m m'
_space_group_IT_number 123
_space_group_name_Hall '-P 4 2'
_cell_length_a 4.352
_cell_length_b 4.352
_cell_length_c 4.659
_cell_angle_alpha 90.00
_cell_angle_beta 90.00
_cell_angle_gamma 90.00
loop_
_atom_site_label
_atom_site_fract_x
_atom_site_fract_y
_atom_site_fract_z
_atom_site_occupancy
Zr1 0.000 0.000 0.000 1
Zr2 0.000 0.500 0.500 1
H1 0.000 0.000 0.500 1
Pb1 0.500 0.500 0.000 1
```

total magnetic moment: 0.00 μB/f.u.
calculated total energy: -7.28 eV/atom

Record 3
This record from Alexandria describes a relaxed structure of Zr2H2Pb. The functional is GGA-PBEsol.

The structure in CIF format:
```
data_Zr2H2Pb
_chemical_formula_sum 'Zr4 H4 Pb2'
_space_group_name_H-M_alt 'I 4/m m m'
_space_group_IT_number 139
_space_group_name_Hall '-I 4 2'
_cell_length_a 3.826
_cell_length_b 3.826
_cell_length_c 9.684
_cell_angle_alpha 90.00
_cell_angle_beta 90.00
_cell_angle_gamma 90.00
loop_
_atom_site_label
_atom_site_fract_x
_atom_site_fract_y
_atom_site_fract_z
_atom_site_occupancy
Zr1 0.000 0.000 0.167 1
H1 0.000 0.500 0.250 1
Pb1 0.000 0.000 0.500 1
```

total magnetic moment: 0.00 μB/f.u.
calculated total energy: -6.20 eV/atom